(1)
## CaErTmLu (GGA-PBE)

Data for a relaxed structure of CaErTmLu.

ΔH_f (0 K) ... 0.740 eV/f.u.
Density of states at the Fermi level ... 7.35 states/eV/cell

Structure (CIF):
```
data_CaErTmLu
_space_group_name_H-M_alt 'P 1'
_space_group_IT_number 1
_cell_length_a 5.667
_cell_length_b 5.667
_cell_length_c 5.667
_cell_angle_alpha 60.00
_cell_angle_beta 60.00
_cell_angle_gamma 60.00
loop_
_space_group_symop_operation_xyz
'x,y,z'
loop_
_atom_site_label
_atom_site_type_symbol
_atom_site_fract_x
_atom_site_fract_y
_atom_site_fract_z
Tm1 Tm 0.500 0.500 0.500
Lu1 Lu 0.750 0.750 0.750
Er1 Er 0.000 0.000 0.000
Ca1 Ca 0.250 0.250 0.250
```



(2)
## Li6Hg3Pb (GGA-PBE)

Data for a relaxed structure of Li6Hg3Pb.

ΔH_f (0 K) ... -3.242 eV/f.u.
Density of states at the Fermi level ... 5.95 states/eV/cell
Distance to the lowest polymorph of the same formula ... 0.00 eV per formula unit

Structure (CIF):
```
data_Li6Hg3Pb
_space_group_name_H-M_alt 'P 1'
_space_group_IT_number 1
_cell_length_a 4.619
_cell_length_b 8.408
_cell_length_c 9.907
_cell_angle_alpha 102.76
_cell_angle_beta 90.00
_cell_angle_gamma 90.00
loop_
_space_group_symop_operation_xyz
'x,y,z'
loop_
_atom_site_label
_atom_site_type_symbol
_atom_site_fract_x
_atom_site_fract_y
_atom_site_fract_z
Li1 Li 0.250 0.061 0.905
Hg1 Hg 0.250 0.352 0.813
Li2 Li 0.750 0.741 0.485
Hg2 Hg 0.750 0.648 0.187
Hg3 Hg 0.250 0.765 0.989
Pb1 Pb 0.250 0.937 0.610
Hg4 Hg 0.250 0.537 0.393
Li3 Li 0.750 0.939 0.095
Hg5 Hg 0.750 0.235 0.011
Li4 Li 0.250 0.630 0.697
Li5 Li 0.750 0.370 0.303
Li6 Li 0.250 0.463 0.099
Pb2 Pb 0.750 0.063 0.390
Li7 Li 0.750 0.843 0.799
Li8 Li 0.250 0.157 0.201
Li9 Li 0.750 0.162 0.705
Li10 Li 0.250 0.838 0.295
Hg6 Hg 0.750 0.463 0.607
Li11 Li 0.250 0.259 0.515
Li12 Li 0.750 0.537 0.901
```



(3)
## TbDyCO (GGA-PBE)

Data for a relaxed structure of TbDyCO.

Density of states at the Fermi level ... 1.09 states/eV/cell
Formation energy from raw total energies ... -28.1 kcal/mol of atoms

Structure (CIF):
```
data_TbDyCO
_space_group_name_H-M_alt 'P 1'
_space_group_IT_number 1
_cell_length_a 3.169
_cell_length_b 3.258
_cell_length_c 6.429
_cell_angle_alpha 104.68
_cell_angle_beta 104.27
_cell_angle_gamma 90.00
loop_
_space_group_symop_operation_xyz
'x,y,z'
loop_
_atom_site_label
_atom_site_type_symbol
_atom_site_fract_x
_atom_site_fract_y
_atom_site_fract_z
Dy1 Dy 0.076 0.076 0.152
O1 O 0.411 0.911 0.823
C1 C 0.669 0.669 0.337
Tb1 Tb 0.823 0.323 0.646
```



(4)
## ZrPd (GGA-PBE)

Data for a relaxed structure of ZrPd.

ΔH_f (0 K) ... 1.123 eV/f.u.
Density of states at the Fermi level ... 14.06 states/eV/cell

Structure (CIF):
```
data_ZrPd
_space_group_name_H-M_alt 'P 1'
_space_group_IT_number 1
_cell_length_a 7.412
_cell_length_b 7.412
_cell_length_c 7.412
_cell_angle_alpha 90.00
_cell_angle_beta 90.00
_cell_angle_gamma 90.00
loop_
_space_group_symop_operation_xyz
'x,y,z'
loop_
_atom_site_label
_atom_site_type_symbol
_atom_site_fract_x
_atom_site_fract_y
_atom_site_fract_z
Zr1 Zr 0.250 0.000 0.500
Pd1 Pd 0.500 0.000 0.750
Zr2 Zr 0.000 0.500 0.250
Pd2 Pd 0.750 0.500 0.000
Zr3 Zr 0.750 0.000 0.500
Pd3 Pd 0.500 0.000 0.250
Zr4 Zr 0.500 0.250 0.000
Pd4 Pd 0.000 0.250 0.500
Zr5 Zr 0.500 0.750 0.000
Pd5 Pd 0.250 0.500 0.000
Pd6 Pd 0.000 0.750 0.500
Zr6 Zr 0.000 0.500 0.750
```



Let's list total energy in order: -3.70 -1.93 -7.07 -6.31 eV/atom.